[1]
Here is a geometry-optimized InTc3Ag structure from the Alexandria database. Energies are from GGA-PBE.

a b c (Å): 4.899 4.899 4.899
angles (deg): 90.00 90.00 90.00
Each line ends with the local moment (μB).
Atoms (fractional coordinates):
Tc 0.500 0.000 0.000  1.96
Tc 0.000 0.000 0.500  2.92
Tc 0.000 0.500 0.000  2.39
Ag 0.000 0.000 0.000  0.20
In 0.500 0.500 0.500  -0.10

---

[2]
Here is a geometry-optimized Sm5Ir2Pd structure from the Alexandria database. Energies are from GGA-PBE.

a b c (Å): 7.783 7.783 8.753
angles (deg): 116.40 116.40 90.00
Atoms (fractional coordinates):
Sm 0.803 0.973 0.276
Sm 0.303 0.803 0.276
Sm 0.500 0.500 0.000
Sm 0.527 0.697 0.724
Sm 0.973 0.473 0.276
Sm 0.027 0.527 0.724
Sm 0.000 0.000 0.000
Sm 0.697 0.197 0.724
Sm 0.197 0.027 0.724
Sm 0.473 0.303 0.276
Pd 0.750 0.750 0.500
Pd 0.250 0.250 0.500
Ir 0.864 0.636 0.000
Ir 0.136 0.364 0.000
Ir 0.364 0.864 0.000
Ir 0.636 0.136 0.000

---

Energy of formation from the pure elements across the listed records, respectively: 2.2025, -0.6550 eV/atom.
Magnetization across the listed records, respectively: 7.95, 0.00 Bohr magnetons per cell.